DFT (PBE with a Hubbard U) results for a geometry-optimized MnFe2RuO6 structure.

Summary:
- Magnetic moment: 39.0 μB per cell
- Total energy: -70.827 eV per formula unit
- Crystal system: trigonal

```
data_MnFe2RuO6
_cell_length_a 5.1948
_cell_length_b 5.1948
_cell_length_c 14.0775
_cell_angle_alpha 90.00
_cell_angle_beta 90.00
_cell_angle_gamma 120.00
_space_group_name_H-M_alt 'R 3'
_space_group_IT_number 146
_space_group_name_Hall 'R 3'
loop_
_atom_site_label
_atom_site_type_symbol
_atom_site_fract_x
_atom_site_fract_y
_atom_site_fract_z
Mn1 Mn 0.0000 0.0000 0.0000
Fe1 Fe 0.0000 0.0000 0.2079
Fe2 Fe 0.0000 0.0000 0.7161
Ru1 Ru 0.0000 0.0000 0.5130
O1 O 0.0003 0.3141 0.1105
O2 O 0.0468 0.6859 0.2730
```